No. 1
Compound: TaC2
Source: the Alexandria database
Functional: PBE
Structure: optimized geometry

Unit cell a=3.1640 b=3.1640 c=3.9260 alpha=90.00 beta=90.00 gamma=120.00
Space group P-6m2 (No. 187)
Unique sites:
Ta (0.0000, 0.0000, 0.0000) (multiplicity 1)
C (0.6667, 0.3333, 0.3293) (multiplicity 2)

Output
Calculated formation energy   0.4213 eV/atom
VASP energy   -29.04 eV/cell
Energy above the lowest structure with this stoichiometry   216.6 meV per atom
Volume   34.04 Å³ per cell



No. 2
Compound: TaC
Source: the Alexandria database
Functional: PBE
Structure: optimized geometry

Unit cell a=3.120 b=9.241 c=6.049 alpha=90.00 beta=90.00 gamma=90.00
Space group Amm2 (No. 38)
Unique sites:
Ta (0.000, 0.000, 0.000) (multiplicity 2)
Ta (0.500, 0.222, 0.724) (multiplicity 4)
C (0.000, 0.246, 0.972) (multiplicity 4)
C (0.500, 0.000, 0.767) (multiplicity 2)

Output
Calculated formation energy   -0.0202 eV/atom
VASP energy   -126.70 eV/cell
Energy above the lowest structure with this stoichiometry   557.3 meV per atom
Volume   174.41 Å³ per cell



No. 3
Compound: Ta2C
Source: the Alexandria database
Functional: PBE
Structure: optimized geometry

Unit cell a=10.240 b=3.009 c=2.902 alpha=90.00 beta=91.36 gamma=90.00
Space group C2/m (No. 12)
Unique sites:
Ta (0.136, 0.000, 0.215) (multiplicity 4)
C (0.000, 0.500, 0.000) (multiplicity 2)

Output
Calculated formation energy   0.0773 eV/atom
VASP energy   -65.39 eV/cell
Volume   89.41 Å³ per cell



Which formula does entry 3 have? Ta2C



What is the VASP energy in the second record? -126.70 eV/cell



Which of these has the highest calculated formation energy? TaC2



What is the formula in the third record? Ta2C